# KZrSnF2 | the Alexandria database | PBE-GGA | optimized geometry
data_KZrSnF2
_chemical_formula_sum 'K1 Zr1 Sn1 F2'
_space_group_name_H-M_alt 'P 4/m m m'
_space_group_IT_number 123
_space_group_name_Hall '-P 4 2'
_cell_length_a 4.498
_cell_length_b 4.498
_cell_length_c 5.805
_cell_angle_alpha 90.00
_cell_angle_beta 90.00
_cell_angle_gamma 90.00
loop_
_atom_site_label
_atom_site_type_symbol
_atom_site_fract_x
_atom_site_fract_y
_atom_site_fract_z
K1 K 0.000 0.000 0.000
Zr1 Zr 0.500 0.500 0.500
Sn1 Sn 0.500 0.500 0.000
F1 F 0.000 0.500 0.500
# Density of states at the Fermi level = 2.86 states/eV/cell
# Total magnetic moment = 0.0 μB per formula unit
# DFT total energy = -5.112 eV per atom
# Raw formation energy = -8.17 eV per formula unit

# K2SrF | the Alexandria database | PBE-GGA | optimized geometry
data_K2SrF
_chemical_formula_sum 'K8 Sr4 F4'
_space_group_name_H-M_alt 'F m -3 m'
_space_group_IT_number 225
_space_group_name_Hall '-F 4 2 3'
_cell_length_a 9.341
_cell_length_b 9.341
_cell_length_c 9.341
_cell_angle_alpha 90.00
_cell_angle_beta 90.00
_cell_angle_gamma 90.00
loop_
_atom_site_label
_atom_site_type_symbol
_atom_site_fract_x
_atom_site_fract_y
_atom_site_fract_z
K1 K 0.250 0.250 0.250
Sr1 Sr 0.000 0.000 0.000
F1 F 0.000 0.000 0.500
# Density of states at the Fermi level = 15.28 states/eV/cell
# Distance to the lowest polymorph of the same formula = 724 meV per atom
# Total magnetic moment = 0.0 μB per formula unit
# DFT total energy = -1.884 eV per atom
# Raw formation energy = -1.79 eV per formula unit

# KSr2F2 | the Alexandria database | PBE-GGA | optimized geometry
data_KSr2F2
_chemical_formula_sum 'K2 Sr4 F4'
_space_group_name_H-M_alt 'I 4/m m m'
_space_group_IT_number 139
_space_group_name_Hall '-I 4 2'
_cell_length_a 4.224
_cell_length_b 4.224
_cell_length_c 20.063
_cell_angle_alpha 90.00
_cell_angle_beta 90.00
_cell_angle_gamma 90.00
loop_
_atom_site_label
_atom_site_type_symbol
_atom_site_fract_x
_atom_site_fract_y
_atom_site_fract_z
K1 K 0.000 0.000 0.000
Sr1 Sr 0.000 0.000 0.319
F1 F 0.000 0.500 0.250
# Density of states at the Fermi level = 5.27 states/eV/cell
# Total magnetic moment = 0.0 μB per formula unit
# DFT total energy = -3.913 eV per atom
# Raw formation energy = -11.36 eV per formula unit

# K4SrF6 | the Alexandria database | PBE-GGA | optimized geometry
data_K4SrF6
_chemical_formula_sum 'K24 Sr6 F36'
_space_group_name_H-M_alt 'R -3 c'
_space_group_IT_number 167
_space_group_name_Hall '-R 3 2"c'
_cell_length_a 10.8726
_cell_length_b 10.8726
_cell_length_c 13.1868
_cell_angle_alpha 90.00
_cell_angle_beta 90.00
_cell_angle_gamma 120.00
loop_
_atom_site_label
_atom_site_type_symbol
_atom_site_fract_x
_atom_site_fract_y
_atom_site_fract_z
K1 K 0.0000 0.0000 0.2500
K2 K 0.0000 0.3450 0.2500
Sr1 Sr 0.0000 0.0000 0.0000
F1 F 0.0381 0.1935 0.3922
# Density of states at the Fermi level = 0.00 states/eV/cell
# Total magnetic moment = 0.3 μB per formula unit
# DFT total energy = -4.564 eV per atom
# Raw formation energy = -32.90 eV per formula unit

# KSr2F6 | the Alexandria database | PBE-GGA | optimized geometry
data_KSr2F6
_chemical_formula_sum 'K2 Sr4 F12'
_space_group_name_H-M_alt 'I m m m'
_space_group_IT_number 71
_space_group_name_Hall '-I 2 2'
_cell_length_a 4.251
_cell_length_b 5.705
_cell_length_c 13.250
_cell_angle_alpha 90.00
_cell_angle_beta 90.00
_cell_angle_gamma 90.00
loop_
_atom_site_label
_atom_site_type_symbol
_atom_site_fract_x
_atom_site_fract_y
_atom_site_fract_z
K1 K 0.000 0.000 0.000
Sr1 Sr 0.000 0.000 0.329
F1 F 0.000 0.208 0.500
F2 F 0.000 0.258 0.175
# Density of states at the Fermi level = 11.49 states/eV/cell
# Total magnetic moment = 1.1 μB per formula unit
# DFT total energy = -4.966 eV per atom
# Raw formation energy = -29.00 eV per formula unit

# K3SrF7 | the Alexandria database | PBE-GGA | optimized geometry
data_K3SrF7
_chemical_formula_sum 'K6 Sr2 F14'
_space_group_name_H-M_alt 'C 1 m 1'
_space_group_IT_number 8
_space_group_name_Hall 'C -2y'
_cell_length_a 9.331
_cell_length_b 9.557
_cell_length_c 6.798
_cell_angle_alpha 90.00
_cell_angle_beta 132.75
_cell_angle_gamma 90.00
loop_
_atom_site_label
_atom_site_type_symbol
_atom_site_fract_x
_atom_site_fract_y
_atom_site_fract_z
K1 K 0.000 0.000 0.000
K2 K 0.005 0.271 0.562
Sr1 Sr 0.064 0.500 0.126
F1 F 0.109 0.247 0.266
F2 F 0.160 0.500 0.874
F3 F 0.378 0.000 0.254
F4 F 0.389 0.219 0.847
F5 F 0.399 0.500 0.527
# Density of states at the Fermi level = 16.82 states/eV/cell
# Total magnetic moment = 2.1 μB per formula unit
# DFT total energy = -4.195 eV per atom
# Raw formation energy = -28.07 eV per formula unit

# KSr3F | the Alexandria database | PBE-GGA | optimized geometry
data_KSr3F
_chemical_formula_sum 'K1 Sr3 F1'
_space_group_name_H-M_alt 'P m -3 m'
_space_group_IT_number 221
_space_group_name_Hall '-P 4 2 3'
_cell_length_a 7.343
_cell_length_b 7.343
_cell_length_c 7.343
_cell_angle_alpha 90.00
_cell_angle_beta 90.00
_cell_angle_gamma 90.00
loop_
_atom_site_label
_atom_site_type_symbol
_atom_site_fract_x
_atom_site_fract_y
_atom_site_fract_z
K1 K 0.000 0.000 0.000
Sr1 Sr 0.000 0.000 0.500
F1 F 0.500 0.500 0.500
# Density of states at the Fermi level = 2.49 states/eV/cell
# Distance to the lowest polymorph of the same formula = 1142 meV per atom
# Total magnetic moment = 0.0 μB per formula unit
# DFT total energy = -1.342 eV per atom
# Raw formation energy = 1.31 eV per formula unit

# K2SrF | the Alexandria database | PBE-GGA | optimized geometry
data_K2SrF
_chemical_formula_sum 'K8 Sr4 F4'
_space_group_name_H-M_alt 'I -4 2 d'
_space_group_IT_number 122
_space_group_name_Hall 'I -4 2bw'
_cell_length_a 8.210
_cell_length_b 8.210
_cell_length_c 11.643
_cell_angle_alpha 90.00
_cell_angle_beta 90.00
_cell_angle_gamma 90.00
loop_
_atom_site_label
_atom_site_type_symbol
_atom_site_fract_x
_atom_site_fract_y
_atom_site_fract_z
K1 K 0.002 0.750 0.125
Sr1 Sr 0.000 0.000 0.500
F1 F 0.000 0.000 0.000
# Density of states at the Fermi level = 12.19 states/eV/cell
# Distance to the lowest polymorph of the same formula = 0 meV per atom
# Total magnetic moment = 0.0 μB per formula unit
# DFT total energy = -2.608 eV per atom
# Raw formation energy = -4.69 eV per formula unit

# K5Sr3F12 | the Alexandria database | PBE-GGA | optimized geometry
data_K5Sr3F12
_chemical_formula_sum 'K40 Sr24 F96'
_space_group_name_H-M_alt 'I a -3 d'
_space_group_IT_number 230
_space_group_name_Hall '-I 4bd 2c 3'
_cell_length_a 14.767
_cell_length_b 14.767
_cell_length_c 14.767
_cell_angle_alpha 90.00
_cell_angle_beta 90.00
_cell_angle_gamma 90.00
loop_
_atom_site_label
_atom_site_type_symbol
_atom_site_fract_x
_atom_site_fract_y
_atom_site_fract_z
K1 K 0.000 0.000 0.000
K2 K 0.000 0.250 0.375
Sr1 Sr 0.000 0.250 0.125
F1 F 0.015 0.082 0.656
# Density of states at the Fermi level = 151.07 states/eV/cell
# Total magnetic moment = 1.2 μB per formula unit
# DFT total energy = -4.659 eV per atom
# Raw formation energy = -60.20 eV per formula unit

# K12Sr3F5 | the Alexandria database | PBE-GGA | optimized geometry
data_K12Sr3F5
_chemical_formula_sum 'K96 Sr24 F40'
_space_group_name_H-M_alt 'I a -3 d'
_space_group_IT_number 230
_space_group_name_Hall '-I 4bd 2c 3'
_cell_length_a 19.440
_cell_length_b 19.440
_cell_length_c 19.440
_cell_angle_alpha 90.00
_cell_angle_beta 90.00
_cell_angle_gamma 90.00
loop_
_atom_site_label
_atom_site_type_symbol
_atom_site_fract_x
_atom_site_fract_y
_atom_site_fract_z
K1 K 0.030 0.142 0.946
Sr1 Sr 0.000 0.250 0.125
F1 F 0.000 0.000 0.000
F2 F 0.000 0.250 0.375
# Density of states at the Fermi level = 98.34 states/eV/cell
# Total magnetic moment = 0.0 μB per formula unit
# DFT total energy = -2.473 eV per atom
# Raw formation energy = -21.89 eV per formula unit

# KSrF3 | the Alexandria database | PBE-GGA | optimized geometry
data_KSrF3
_chemical_formula_sum 'K2 Sr2 F6'
_space_group_name_H-M_alt 'P m m n'
_space_group_IT_number 59
_cell_length_a 3.852
_cell_length_b 6.127
_cell_length_c 7.997
_cell_angle_alpha 90.00
_cell_angle_beta 90.00
_cell_angle_gamma 90.00
loop_
_space_group_symop_operation_xyz
'x,y,z'
'-x,-y,-z'
'-x+1/2,-y+1/2,z'
'x+1/2,y+1/2,-z'
'x+1/2,-y,-z'
'-x+1/2,y,z'
'-x,y+1/2,-z'
'x,-y+1/2,z'
loop_
_atom_site_label
_atom_site_type_symbol
_atom_site_fract_x
_atom_site_fract_y
_atom_site_fract_z
K1 K 0.250 0.250 0.120
Sr1 Sr 0.250 0.750 0.388
F1 F 0.250 0.505 0.640
F2 F 0.250 0.750 0.089
# Density of states at the Fermi level = 0.00 states/eV/cell
# Total magnetic moment = 0.1 μB per formula unit
# DFT total energy = -5.090 eV per atom
# Raw formation energy = -17.06 eV per formula unit

# KSr2F8 | the Alexandria database | PBE-GGA | optimized geometry
data_KSr2F8
_chemical_formula_sum 'K2 Sr4 F16'
_space_group_name_H-M_alt 'C 1 2/m 1'
_space_group_IT_number 12
_space_group_name_Hall '-C 2y'
_cell_length_a 14.260
_cell_length_b 4.263
_cell_length_c 6.478
_cell_angle_alpha 90.00
_cell_angle_beta 116.71
_cell_angle_gamma 90.00
loop_
_atom_site_label
_atom_site_type_symbol
_atom_site_fract_x
_atom_site_fract_y
_atom_site_fract_z
K1 K 0.000 0.000 0.000
Sr1 Sr 0.187 0.500 0.657
F1 F 0.008 0.500 0.663
F2 F 0.160 0.000 0.421
F3 F 0.175 0.500 0.139
F4 F 0.188 0.000 0.884
# Density of states at the Fermi level = 0.06 states/eV/cell
# Total magnetic moment = 3.1 μB per formula unit
# DFT total energy = -4.366 eV per atom
# Raw formation energy = -28.59 eV per formula unit

Calculated volume for the records above, in order: 117.47, 814.98, 358.02, 1350.01, 321.34, 445.17, 395.85, 784.77, 3220.43, 7346.63, 188.77, 351.77 Å³/cell